First-principles (PBE) data for EuGdNi2 after structural relaxation, as listed in Alexandria via LeMat-Bulk.

- energy of formation (eV/atom) = -0.1785
- E (eV per atom) = -9.16

a = 4.866 Å, b = 4.866 Å, c = 4.866 Å
α = 60.00°, β = 60.00°, γ = 60.00°
Fractional coordinates of all 4 atoms:
Eu1 0.000 0.000 0.000
Gd1 0.500 0.500 0.500
Ni1 0.250 0.250 0.250
Ni2 0.750 0.750 0.750